Record 1
First-principles (PBE) data for crystalline TbGa4Co3 at its relaxed geometry, as listed in Alexandria via LeMat-Bulk.

a = 5.126 Å, b = 7.976 Å, c = 6.459 Å
α = 90.00°, β = 90.00°, γ = 90.00°
Space group Cmmm (No. 65)
One atom of each set of equivalent atoms:
Tb 0.000 0.000 0.000 [2 per cell]
Ga 0.250 0.250 0.296 [8 per cell]
Co 0.000 0.000 0.500 [2 per cell]
Co 0.000 0.500 0.323 [4 per cell]

**Energy of formation**: -0.115 eV/atom
**D(E_F)**: 10.8 states/eV/cell
**Total magnetic moment**: 2.86 μB per formula unit

***

Record 2
First-principles (PBE) data for crystalline Co2HRuRh at its relaxed geometry, as listed in Alexandria via LeMat-Bulk.

a = 3.754 Å, b = 3.754 Å, c = 3.704 Å
α = 90.00°, β = 90.00°, γ = 90.00°
Space group P4/mmm (No. 123)
One atom of each set of equivalent atoms:
Co 0.000 0.500 0.000 [2 per cell]
H 0.000 0.000 0.000 [1 per cell]
Ru 0.500 0.500 0.500 [1 per cell]
Rh 0.000 0.000 0.500 [1 per cell]

**Relative energy among the computed polymorphs**: 8 kJ/mol of formula units
**D(E_F)**: 5.1 states/eV/cell
**Total magnetic moment**: 3.23 μB per formula unit

***

Record 3
First-principles (PBE) data for crystalline Ta9PO25 at its relaxed geometry, as listed in Alexandria via LeMat-Bulk.

a = 15.769 Å, b = 15.769 Å, c = 3.868 Å
α = 90.00°, β = 90.00°, γ = 90.00°
Space group I-4 (No. 82)
One atom of each set of equivalent atoms:
Ta 0.000 0.000 0.000 [2 per cell]
Ta 0.106 0.780 0.991 [8 per cell]
Ta 0.115 0.327 0.003 [8 per cell]
P 0.000 0.500 0.250 [2 per cell]
O 0.000 0.000 0.500 [2 per cell]
O 0.010 0.278 0.991 [8 per cell]
O 0.054 0.563 0.467 [8 per cell]
O 0.054 0.885 0.996 [8 per cell]
O 0.113 0.747 0.490 [8 per cell]
O 0.145 0.344 0.512 [8 per cell]
O 0.175 0.219 0.018 [8 per cell]

**Formation energy from raw total energies**: -2.806 eV per atom
**D(E_F)**: 0.0 states/eV/cell
**Total magnetic moment**: 0.00 μB per formula unit

***

Record 4
First-principles (PBE) data for crystalline CsSb2Te4Au at its relaxed geometry, as listed in Alexandria via LeMat-Bulk.

a = 7.202 Å, b = 8.002 Å, c = 11.145 Å
α = 90.00°, β = 90.00°, γ = 90.00°
Space group I222 (No. 23)
One atom of each set of equivalent atoms:
Cs 0.000 0.000 0.000 [2 per cell]
Sb 0.000 0.500 0.294 [4 per cell]
Te 0.224 0.173 0.659 [8 per cell]
Au 0.000 0.000 0.500 [2 per cell]

**Formation energy from raw total energies**: -0.166 eV per atom
**D(E_F)**: 6.7 states/eV/cell
**Total magnetic moment**: 0.00 μB per formula unit

***

Record 5
First-principles (PBE) data for crystalline CaZnRe3 at its relaxed geometry, as listed in Alexandria via LeMat-Bulk.

a = 4.618 Å, b = 4.618 Å, c = 4.618 Å
α = 90.00°, β = 90.00°, γ = 90.00°
Space group Pm-3m (No. 221)
One atom of each set of equivalent atoms:
Ca 0.000 0.000 0.000 [1 per cell]
Zn 0.500 0.500 0.500 [1 per cell]
Re 0.000 0.500 0.500 [3 per cell]

**Energy of formation**: 1.792 eV/atom
**D(E_F)**: 5.8 states/eV/cell
**Total magnetic moment**: 0.00 μB per formula unit

***

Record 6
First-principles (PBE) data for crystalline PaAs4 at its relaxed geometry, as listed in Alexandria via LeMat-Bulk.

a = 5.436 Å, b = 5.436 Å, c = 5.436 Å
α = 90.00°, β = 90.00°, γ = 90.00°
Space group Pm-3m (No. 221)
One atom of each set of equivalent atoms:
Pa 0.000 0.000 0.000 [1 per cell]
As 0.000 0.000 0.500 [3 per cell]
As 0.500 0.500 0.500 [1 per cell]

**Energy of formation**: 0.675 eV/atom
**D(E_F)**: 8.5 states/eV/cell
**Total magnetic moment**: 0.01 μB per formula unit

***

Record 7
First-principles (PBE) data for crystalline KIrRu at its relaxed geometry, as listed in Alexandria via LeMat-Bulk.

a = 6.291 Å, b = 6.291 Å, c = 6.291 Å
α = 90.00°, β = 90.00°, γ = 90.00°
Space group F-43m (No. 216)
One atom of each set of equivalent atoms:
K 0.000 0.000 0.000 [4 per cell]
Ir 0.000 0.000 0.500 [4 per cell]
Ru 0.250 0.250 0.250 [4 per cell]

**Relative energy among the computed polymorphs**: 306 kJ/mol of formula units
**Energy of formation**: 1.498 eV/atom
**D(E_F)**: 25.6 states/eV/cell
**Total magnetic moment**: 0.00 μB per formula unit

***

Record 8
First-principles (PBE) data for crystalline CaBe2IF at its relaxed geometry, as listed in Alexandria via LeMat-Bulk.

a = 5.848 Å, b = 5.848 Å, c = 4.233 Å
α = 90.00°, β = 90.00°, γ = 90.00°
Space group P4/mmm (No. 123)
One atom of each set of equivalent atoms:
Ca 0.000 0.000 0.000 [1 per cell]
Be 0.000 0.500 0.000 [2 per cell]
I 0.500 0.500 0.500 [1 per cell]
F 0.000 0.000 0.500 [1 per cell]

**Formation energy from raw total energies**: -0.002 eV per atom
**D(E_F)**: 0.5 states/eV/cell
**Total magnetic moment**: 0.00 μB per formula unit

***

Record 9
First-principles (PBE) data for crystalline AcPmGeBr at its relaxed geometry, as listed in Alexandria via LeMat-Bulk.

a = 7.630 Å, b = 7.630 Å, c = 7.630 Å
α = 90.00°, β = 90.00°, γ = 90.00°
Space group F-43m (No. 216)
One atom of each set of equivalent atoms:
Ac 0.000 0.000 0.000 [4 per cell]
Pm 0.000 0.000 0.500 [4 per cell]
Ge 0.250 0.250 0.750 [4 per cell]
Br 0.250 0.250 0.250 [4 per cell]

**Formation energy from raw total energies**: -0.926 eV per atom
**Relative energy among the computed polymorphs**: 57 kJ/mol of formula units
**D(E_F)**: 11.0 states/eV/cell
**Total magnetic moment**: 0.00 μB per formula unit

***

Record 10
First-principles (PBE) data for crystalline KAsRu3 at its relaxed geometry, as listed in Alexandria via LeMat-Bulk.

a = 4.694 Å, b = 4.694 Å, c = 4.694 Å
α = 90.00°, β = 90.00°, γ = 90.00°
Space group Pm-3m (No. 221)
One atom of each set of equivalent atoms:
K 0.000 0.000 0.000 [1 per cell]
As 0.500 0.500 0.500 [1 per cell]
Ru 0.000 0.500 0.500 [3 per cell]

**Relative energy among the computed polymorphs**: 0 kJ/mol of formula units
**Energy of formation**: 0.990 eV/atom
**D(E_F)**: 4.5 states/eV/cell
**Total magnetic moment**: 3.45 μB per formula unit

***

Record 11
First-principles (PBE) data for crystalline InTc2Sb at its relaxed geometry, as listed in Alexandria via LeMat-Bulk.

a = 9.907 Å, b = 3.142 Å, c = 4.837 Å
α = 90.00°, β = 109.28°, γ = 90.00°
Space group Cm (No. 8)
One atom of each set of equivalent atoms:
In 0.000 0.000 0.000 [2 per cell]
Tc 0.029 0.500 0.513 [2 per cell]
Tc 0.248 0.000 0.868 [2 per cell]
Sb 0.278 0.500 0.370 [2 per cell]

**Formation energy from raw total energies**: 0.252 eV per atom
**Relative energy among the computed polymorphs**: 61 kJ/mol of formula units
**D(E_F)**: 7.2 states/eV/cell
**Total magnetic moment**: 0.00 μB per formula unit

***

Record 12
First-principles (PBE) data for crystalline HgPW at its relaxed geometry, as listed in Alexandria via LeMat-Bulk.

a = 6.191 Å, b = 6.191 Å, c = 6.191 Å
α = 90.00°, β = 90.00°, γ = 90.00°
Space group F-43m (No. 216)
One atom of each set of equivalent atoms:
Hg 0.000 0.000 0.000 [4 per cell]
P 0.000 0.000 0.500 [4 per cell]
W 0.250 0.250 0.250 [4 per cell]

**Relative energy among the computed polymorphs**: 182 kJ/mol of formula units
**Energy of formation**: 0.921 eV/atom
**D(E_F)**: 9.0 states/eV/cell
**Total magnetic moment**: 0.82 μB per formula unit

***

Record 13
First-principles (PBE) data for crystalline RbSrGaF6 at its relaxed geometry, as listed in Alexandria via LeMat-Bulk.

a = 5.9883 Å, b = 5.9883 Å, c = 5.6803 Å
α = 90.00°, β = 90.00°, γ = 120.00°
Space group P312 (No. 149)
One atom of each set of equivalent atoms:
Rb 0.0000 0.0000 0.0000 [1 per cell]
Sr 0.3333 0.6667 0.5000 [1 per cell]
Ga 0.6667 0.3333 0.5000 [1 per cell]
F 0.4065 0.0600 0.6927 [6 per cell]

**Formation energy from raw total energies**: -3.123 eV per atom
**D(E_F)**: 0.0 states/eV/cell
**Total magnetic moment**: 0.00 μB per formula unit

***

Record 14
First-principles (PBE) data for crystalline Nd2V2Ni15 at its relaxed geometry, as listed in Alexandria via LeMat-Bulk.

a = 8.3640 Å, b = 8.3640 Å, c = 12.3039 Å
α = 90.00°, β = 90.00°, γ = 120.00°
Space group R-3m (No. 166, hexagonal axes)
One atom of each set of equivalent atoms:
Nd 0.0000 0.0000 0.1560 [6 per cell]
V 0.0000 0.0000 0.4102 [6 per cell]
Ni 0.0000 0.2946 0.5000 [18 per cell]
Ni 0.0000 0.5000 0.0000 [9 per cell]
Ni 0.0053 0.5026 0.3435 [18 per cell]

**Energy of formation**: -0.219 eV/atom
**D(E_F)**: 87.3 states/eV/cell
**Total magnetic moment**: 2.01 μB per formula unit

***

Record 15
First-principles (PBE) data for crystalline TiAgF3 at its relaxed geometry, as listed in Alexandria via LeMat-Bulk.

a = 4.125 Å, b = 4.125 Å, c = 4.125 Å
α = 90.00°, β = 90.00°, γ = 90.00°
Space group Pm-3m (No. 221)
One atom of each set of equivalent atoms:
Ti 0.000 0.000 0.000 [1 per cell]
Ag 0.500 0.500 0.500 [1 per cell]
F 0.000 0.000 0.500 [3 per cell]

**Formation energy from raw total energies**: -2.139 eV per atom
**Relative energy among the computed polymorphs**: 0 kJ/mol of formula units
**D(E_F)**: 5.4 states/eV/cell
**Total magnetic moment**: 1.49 μB per formula unit

***

Record 16
First-principles (PBE) data for crystalline Hf2NbAl at its relaxed geometry, as listed in Alexandria via LeMat-Bulk.

a = 4.413 Å, b = 4.413 Å, c = 3.997 Å
α = 90.00°, β = 90.00°, γ = 90.00°
Space group P4/mmm (No. 123)
One atom of each set of equivalent atoms:
Hf 0.000 0.500 0.000 [2 per cell]
Nb 0.000 0.000 0.500 [1 per cell]
Al 0.500 0.500 0.500 [1 per cell]

**Energy of formation**: -0.203 eV/atom
**D(E_F)**: 5.6 states/eV/cell
**Total magnetic moment**: 0.00 μB per formula unit

***

Record 17
First-principles (PBE) data for crystalline LaGa2ReO8 at its relaxed geometry, as listed in Alexandria via LeMat-Bulk.

a = 4.852 Å, b = 4.854 Å, c = 6.851 Å
α = 82.47°, β = 82.46°, γ = 81.43°
Space group P-1 (No. 2)
One atom of each set of equivalent atoms:
La 0.000 0.000 0.000 [1 per cell]
Ga 0.452 0.452 0.217 [2 per cell]
Re 0.000 0.000 0.500 [1 per cell]
O 0.206 0.790 0.297 [2 per cell]
O 0.211 0.796 0.703 [2 per cell]
O 0.255 0.256 0.445 [2 per cell]
O 0.327 0.328 0.993 [2 per cell]

**Formation energy from raw total energies**: -1.972 eV per atom
**Total magnetic moment**: 0.00 μB per formula unit

***

Record 18
First-principles (PBE) data for crystalline MoPt3Rh at its relaxed geometry, as listed in Alexandria via LeMat-Bulk.

a = 4.772 Å, b = 4.772 Å, c = 4.772 Å
α = 90.00°, β = 90.00°, γ = 90.00°
Space group Pm-3m (No. 221)
One atom of each set of equivalent atoms:
Mo 0.000 0.000 0.000 [1 per cell]
Pt 0.000 0.500 0.500 [3 per cell]
Rh 0.500 0.500 0.500 [1 per cell]

**Relative energy among the computed polymorphs**: 902 kJ/mol of formula units
**Energy of formation**: 1.627 eV/atom
**D(E_F)**: 12.1 states/eV/cell
**Total magnetic moment**: 3.62 μB per formula unit

***

Record 19
First-principles (PBE) data for crystalline VCo2N at its relaxed geometry, as listed in Alexandria via LeMat-Bulk.

a = 4.738 Å, b = 4.738 Å, c = 8.840 Å
α = 90.00°, β = 90.00°, γ = 90.00°
Space group I-42d (No. 122)
One atom of each set of equivalent atoms:
V 0.000 0.000 0.000 [4 per cell]
Co 0.160 0.250 0.625 [8 per cell]
N 0.000 0.000 0.500 [4 per cell]

**Formation energy from raw total energies**: 0.284 eV per atom
**D(E_F)**: 10.0 states/eV/cell
**Total magnetic moment**: 0.00 μB per formula unit

***

Record 20
First-principles (PBE) data for crystalline TbPrHoIn at its relaxed geometry, as listed in Alexandria via LeMat-Bulk.

a = 7.789 Å, b = 7.789 Å, c = 7.789 Å
α = 90.00°, β = 90.00°, γ = 90.00°
Space group F-43m (No. 216)
One atom of each set of equivalent atoms:
Tb 0.000 0.000 0.000 [4 per cell]
Pr 0.250 0.250 0.250 [4 per cell]
Ho 0.000 0.000 0.500 [4 per cell]
In 0.250 0.250 0.750 [4 per cell]

**Relative energy among the computed polymorphs**: 20 kJ/mol of formula units
**Energy of formation**: -0.091 eV/atom
**D(E_F)**: 23.3 states/eV/cell
**Total magnetic moment**: 1.45 μB per formula unit

***

Record 21
First-principles (PBE) data for crystalline BaMo2Au2 at its relaxed geometry, as listed in Alexandria via LeMat-Bulk.

a = 8.499 Å, b = 8.499 Å, c = 2.847 Å
α = 90.00°, β = 90.00°, γ = 90.00°
Space group P4/mbm (No. 127)
One atom of each set of equivalent atoms:
Ba 0.000 0.000 0.000 [2 per cell]
Mo 0.169 0.331 0.500 [4 per cell]
Au 0.123 0.623 0.000 [4 per cell]

**Relative energy among the computed polymorphs**: 168 kJ/mol of formula units
**Energy of formation**: 0.661 eV/atom
**D(E_F)**: 5.9 states/eV/cell
**Total magnetic moment**: 0.00 μB per formula unit

***

Record 22
First-principles (PBE) data for crystalline RbCa2Zr at its relaxed geometry, as listed in Alexandria via LeMat-Bulk.

a = 5.333 Å, b = 5.333 Å, c = 24.772 Å
α = 90.00°, β = 90.00°, γ = 90.00°
Space group I-42d (No. 122)
One atom of each set of equivalent atoms:
Rb 0.000 0.000 0.000 [4 per cell]
Ca 0.224 0.250 0.625 [8 per cell]
Zr 0.000 0.000 0.500 [4 per cell]

**Relative energy among the computed polymorphs**: 112 kJ/mol of formula units
**Energy of formation**: 1.030 eV/atom
**D(E_F)**: 41.7 states/eV/cell
**Total magnetic moment**: 3.92 μB per formula unit

***

Record 23
First-principles (PBE) data for crystalline Co2AgSb at its relaxed geometry, as listed in Alexandria via LeMat-Bulk.

a = 3.0446 Å, b = 3.0446 Å, c = 25.4271 Å
α = 90.00°, β = 90.00°, γ = 120.00°
Space group R3m (No. 160, hexagonal axes)
One atom of each set of equivalent atoms:
Co 0.0000 0.0000 0.0000 [3 per cell]
Co 0.0000 0.0000 0.2722 [3 per cell]
Ag 0.0000 0.0000 0.5213 [3 per cell]
Sb 0.0000 0.0000 0.7466 [3 per cell]

**Formation energy from raw total energies**: 0.465 eV per atom
**D(E_F)**: 15.2 states/eV/cell
**Total magnetic moment**: 3.21 μB per formula unit

***

Record 24
First-principles (PBE) data for crystalline Cs2RbCd2Bi2 at its relaxed geometry, as listed in Alexandria via LeMat-Bulk.

a = 5.1523 Å, b = 5.1523 Å, c = 48.7566 Å
α = 90.00°, β = 90.00°, γ = 120.00°
Space group R-3m (No. 166, hexagonal axes)
One atom of each set of equivalent atoms:
Cs 0.0000 0.0000 0.1141 [6 per cell]
Rb 0.0000 0.0000 0.0000 [3 per cell]
Cd 0.0000 0.0000 0.3882 [6 per cell]
Bi 0.0000 0.0000 0.2751 [6 per cell]

**Energy of formation**: -0.285 eV/atom
**D(E_F)**: 7.8 states/eV/cell
**Total magnetic moment**: 0.06 μB per formula unit

***

Record 25
First-principles (PBE) data for crystalline Ac3ErTl4 at its relaxed geometry, as listed in Alexandria via LeMat-Bulk.

a = 3.957 Å, b = 3.957 Å, c = 16.868 Å
α = 90.00°, β = 90.00°, γ = 90.00°
Space group P4/mmm (No. 123)
One atom of each set of equivalent atoms:
Ac 0.000 0.000 0.000 [1 per cell]
Ac 0.000 0.000 0.264 [2 per cell]
Er 0.000 0.000 0.500 [1 per cell]
Tl 0.500 0.500 0.133 [2 per cell]
Tl 0.500 0.500 0.398 [2 per cell]

**Relative energy among the computed polymorphs**: 0 kJ/mol of formula units
**Energy of formation**: -0.340 eV/atom
**D(E_F)**: 6.7 states/eV/cell
**Total magnetic moment**: 0.00 μB per formula unit

***

| no. | ρ (Mg/m³) |
| --- | --- |
| 1 | 7.73 |
| 2 | 10.27 |
| 3 | 7.11 |
| 4 | 5.60 |
| 5 | 11.20 |
| 6 | 5.49 |
| 7 | 8.87 |
| 8 | 2.34 |
| 9 | 7.84 |
| 10 | 6.70 |
| 11 | 10.11 |
| 12 | 11.63 |
| 13 | 3.36 |
| 14 | 8.49 |
| 15 | 5.03 |
| 16 | 10.18 |
| 17 | 6.26 |
| 18 | 11.98 |
| 19 | 6.12 |
| 20 | 8.15 |
| 21 | 11.68 |
| 22 | 2.42 |
| 23 | 8.48 |
| 24 | 4.42 |
| 25 | 10.47 |